A | Compound: NdYS2
Source: Alexandria via LeMat-Bulk
Functional: PBE-GGA
Structure: optimized geometry

a = 6.8772 Å, b = 3.9843 Å, c = 6.9689 Å
α = 90.00°, β = 109.32°, γ = 90.00°
With the nearest neighbours (Å) after each atom.
Space group C2/m (No. 12)
Symmetry-distinct sites (fractional):
Nd 0.0000 0.0000 0.0000  6 S 2.88
Y 0.0000 0.5000 0.5000  6 S 2.77
S 0.2452 0.0000 0.7352  3 Y 2.77, 3 Nd 2.88

=====

B | Compound: NdYS2
Source: Alexandria via LeMat-Bulk
Functional: PBE-GGA
Structure: optimized geometry

a = 3.8992 Å, b = 3.8992 Å, c = 20.8677 Å
α = 90.00°, β = 90.00°, γ = 120.00°
With the nearest neighbours (Å) after each atom.
Space group R3m (No. 160, hexagonal axes)
Symmetry-distinct sites (fractional):
Nd 0.0000 0.0000 0.0000  6 S 2.81-2.95
Y 0.0000 0.0000 0.8219  6 S 2.74-2.88
S 0.0000 0.0000 0.4135  3 Y 2.74, 3 Nd 2.81
S 0.0000 0.0000 0.5750  3 Y 2.88, 3 Nd 2.95

=====

Which is most stable, and by how much? A, by 5.9 kJ/mol of atoms.